(1)
Compound: Tm4Pd5Pt
Source: the Alexandria database
Functional: PBE-GGA
Structure: optimized geometry

Cell and atoms, written as extended XYZ:
```
10
Lattice="7.388 -2.393 0.000 7.388 2.393 0.000 -1.747 0.000 5.515" Properties=species:S:1:pos:R:3 pbc="T T T"
Tm 0.691 0.000 1.817
Tm 4.207 0.000 1.152
Tm 8.821 0.000 4.363
Tm 12.337 0.000 3.698
Pd 0.140 0.000 4.780
Pd 3.064 0.000 3.804
Pd 7.388 0.000 0.000
Pd 9.964 0.000 1.711
Pd 12.888 0.000 0.735
Pt 6.514 0.000 2.757
```

## Properties
Formation enthalpy at 0 K   -974 meV per atom


(2)
Compound: GdDyScCd
Source: the Alexandria database
Functional: PBE-GGA
Structure: optimized geometry

Cell and atoms, written as extended XYZ:
```
4
Lattice="0.000 3.786 3.786 3.786 0.000 3.786 3.786 3.786 0.000" Properties=species:S:1:pos:R:3 pbc="T T T"
Gd 0.000 0.000 0.000
Dy 3.786 3.786 3.786
Sc 5.679 5.679 5.679
Cd 1.893 1.893 1.893
```

## Properties
Formation enthalpy at 0 K   -51 meV per atom


(3)
Compound: Zr2TeF
Source: the Alexandria database
Functional: PBE-GGA
Structure: optimized geometry

Cell and atoms, written as extended XYZ:
```
8
Lattice="-2.521 2.521 7.408 2.521 -2.521 7.408 2.521 2.521 -7.408" Properties=species:S:1:pos:R:3 pbc="T T T"
Zr 1.261 3.151 5.556
Zr 0.630 1.261 1.852
Zr -1.261 1.891 5.556
Zr -0.630 3.782 1.852
Te 2.521 0.000 3.704
Te 0.000 0.000 7.408
F 0.000 0.000 0.000
F 0.000 2.521 3.704
```

## Properties
Polymorph energy (0 for the lowest one)   0.1750 eV/atom
Formation energy (no corrections)   -0.814 eV per atom


| no. | magnetic moment (μB/f.u.) |
| --- | --- |
| 1 | 0.000 |
| 2 | 7.664 |
| 3 | 0.000 |